1.
BeZnFe (PBE, optimized geometry); formation energy = 0.055 eV per formula unit
1.0
-1.911 -2.356 -1.602
2.074 0.322 -2.947
6.435 -7.724 3.685
Be Zn Fe
4 4 4
Direct
0.500 0.000 0.545
0.500 0.500 0.045
0.500 0.000 0.879
0.500 0.500 0.379
0.000 0.000 0.045
0.000 0.500 0.545
0.500 0.000 0.222
0.500 0.500 0.722
0.000 0.000 0.392
0.000 0.500 0.892
0.000 0.000 0.714
0.000 0.500 0.214

=====

2.
YTmHgAu (PBE, optimized geometry); formation energy = -2.690 eV per formula unit
1.0
5.149 0.000 0.000
2.574 4.459 0.000
2.574 1.486 4.204
Y Tm Au Hg
1 1 1 1
Direct
0.750 0.750 0.750
0.250 0.250 0.250
0.000 0.000 0.000
0.500 0.500 0.500

=====

3.
SrPtW (PBE, optimized geometry); formation energy = 2.014 eV per formula unit
1.0
4.928 0.000 0.000
-2.464 4.268 0.000
0.000 0.000 2.917
Pt Sr W
1 1 1
Direct
0.000 0.000 0.833
0.667 0.333 0.333
0.333 0.667 0.833

=====

4.
AlC2S (PBE, optimized geometry); formation energy without anion corrections = 2.193 eV/atom
1.0
0.000 2.750 2.750
2.750 0.000 2.750
2.750 2.750 0.000
C S Al
2 1 1
Direct
0.250 0.250 0.250
0.750 0.750 0.750
0.500 0.500 0.500
0.000 0.000 0.000

=====

Number 1: excess energy over the best structure of this formula in the dataset 15 meV per atom, E -4.47 eV/atom, DOS at the Fermi energy 6.36 states/eV/cell. Number 2: excess energy over the best structure of this formula in the dataset 15 meV per atom, E -4.30 eV/atom, DOS at the Fermi energy 3.26 states/eV/cell. Number 3: excess energy over the best structure of this formula in the dataset 699 meV per atom, E -6.22 eV/atom, DOS at the Fermi energy 2.52 states/eV/cell. Number 4: excess energy over the best structure of this formula in the dataset 1270 meV per atom, E -4.39 eV/atom, DOS at the Fermi energy 3.23 states/eV/cell.